Record 1
AlInTc2: optimized geometry, PBE-GGA.

Calculated values
E above lowest polymorph	648	meV per atom

Cell: 7.160 7.160 5.740 Å, 51.41 51.41 90.00°
Atoms (fractional coordinates):
1 Al 0.500 0.500 0.000
2 Al 0.250 0.750 0.500
3 Tc 0.592 0.125 0.250
4 Tc 0.158 0.625 0.250
5 Tc 0.375 0.408 0.750
6 Tc 0.875 0.842 0.750
7 In 0.000 0.000 0.000
8 In 0.750 0.250 0.500

=====

Record 2
Zr4PdRu: optimized geometry, PBE-GGA.

Calculated values
E above lowest polymorph	0	meV per atom

Cell: 3.308 3.308 10.822 Å, 90.00 90.00 90.00°
Atoms (fractional coordinates):
1 Zr 0.500 0.500 0.840
2 Zr 0.500 0.500 0.160
3 Zr 0.000 0.000 0.650
4 Zr 0.000 0.000 0.350
5 Pd 0.000 0.000 0.000
6 Ru 0.500 0.500 0.500